# SrWS3 PBE optimized geometry
data_SrWS3
_chemical_formula_sum 'Sr1 W1 S3'
_symmetry_space_group_name_H-M 'P m -3 m'
_symmetry_Int_Tables_number 221
_symmetry_space_group_name_Hall '-P 4 2 3'
_cell_length_a 5.221
_cell_length_b 5.221
_cell_length_c 5.221
_cell_angle_alpha 90.00
_cell_angle_beta 90.00
_cell_angle_gamma 90.00
loop_
_atom_site_label
_atom_site_fract_x
_atom_site_fract_y
_atom_site_fract_z
Sr1 0.000 0.000 0.000
W1 0.500 0.500 0.500
S1 0.000 0.000 0.500
# N(E_F)   3.63 states/eV/atom
# Density   4.3 Mg/m³
# Energy above the lowest structure with this stoichiometry   2586 meV/atom
# Raw formation energy   1.691 eV per atom

=====

# Tb3PrYTh PBE optimized geometry
data_Tb3PrYTh
_chemical_formula_sum 'Tb6 Pr2 Y2 Th2'
_symmetry_space_group_name_H-M 'P 1 21/m 1'
_symmetry_Int_Tables_number 11
_cell_length_a 8.034
_cell_length_b 5.090
_cell_length_c 10.186
_cell_angle_alpha 90.00
_cell_angle_beta 108.82
_cell_angle_gamma 90.00
loop_
_symmetry_equiv_pos_as_xyz
'x,y,z'
'-x,-y,-z'
'-x,y+1/2,-z'
'x,-y+1/2,z'
loop_
_atom_site_label
_atom_site_fract_x
_atom_site_fract_y
_atom_site_fract_z
Tb1 0.168 0.250 0.044
Tb2 0.176 0.250 0.542
Tb3 0.176 0.750 0.294
Pr1 0.167 0.750 0.791
Y1 0.499 0.750 0.129
Th1 0.498 0.250 0.380
# N(E_F)   1.50 states/eV/atom
# Total energy   -64.8 eV per cell
# Density   7.9 Mg/m³